KInCu2 | PBE | relaxed

abc: 4.998 4.998 4.998
angles: 60.00 60.00 60.00
Atoms (fractional coordinates):
K 0.000 0.000 0.000
In 0.750 0.750 0.750
Cu 0.250 0.250 0.250
Cu 0.500 0.500 0.500

Computed properties:
energy relative to the lowest polymorph listed for this composition: 0.477 eV/atom
magnetization: 0.000 μB/atom
SG: No. 216
E_form: 0.522 eV per atom

=====

MgCo2Ni | PBE | relaxed

abc: 8.518 8.518 8.518
angles: 17.64 17.64 17.64
Atoms (fractional coordinates):
Mg 0.000 0.000 0.000
Co 0.245 0.245 0.245
Co 0.755 0.755 0.755
Ni 0.500 0.500 0.500

Computed properties:
magnetization: 0.827 μB/atom
SG: No. 166
E_form: 0.225 eV per atom